No. 1
VASP calculation (GGA-PBE) on HfAg2I after structural relaxation.

Values from the calculation:
Fermi-level density of states (states/eV per cell): 3.07
M_tot (μB per cell): 0.00
ΔE_f (raw) (eV/f.u.): 0.2
Energy above the most stable polymorph in this dataset (kcal/mol of atoms): 2.717

Cell lengths 3.5545, 6.6103, 8.6352 Å; angles 101.66, 90.16, 90.01 degrees
Space group P1 (No. 1)
Asymmetric unit:
Hf1 0.0000 0.0000 0.0000
Hf2 0.4987 0.6323 0.8348
Ag1 0.0002 0.4883 0.0742
Ag2 0.0025 0.0615 0.3937
Ag3 0.5015 0.2708 0.2280
Ag4 0.5011 0.8050 0.1896
I1 0.9964 0.6751 0.5646
I2 0.9984 0.2372 0.7422

No. 2
VASP calculation (GGA-PBE) on Pd3SN after structural relaxation.

Values from the calculation:
Fermi-level density of states (states/eV per cell): 2.82
M_tot (μB per cell): 0.00
ΔE_f (raw) (eV/f.u.): 2.1
Energy above the most stable polymorph in this dataset (kcal/mol of atoms): 0.000

Cell lengths 4.1689, 4.1689, 4.1689 Å; angles 90.00, 90.00, 90.00 degrees
Space group Pm-3m (No. 221)
Asymmetric unit:
Pd1 0.0000 0.0000 0.5000
S1 0.5000 0.5000 0.5000
N1 0.0000 0.0000 0.0000

No. 3
VASP calculation (GGA-PBE) on Tb3GaSi after structural relaxation.

Values from the calculation:
Fermi-level density of states (states/eV per cell): 8.67
M_tot (μB per cell): 0.00
ΔE_f (raw) (eV/f.u.): -2.4

Cell lengths 4.0874, 7.7650, 8.2979 Å; angles 87.55, 89.96, 74.80 degrees
Space group P-1 (No. 2)
Asymmetric unit:
Tb1 0.0483 0.4035 0.1802
Tb2 0.2356 0.0285 0.8232
Tb3 0.4032 0.6920 0.4166
Ga1 0.2059 0.0892 0.4301
Si1 0.3939 0.7116 0.0623

No. 4
VASP calculation (GGA-PBE) on BaHg2GeRh after structural relaxation.

Values from the calculation:
Fermi-level density of states (states/eV per cell): 3.83
M_tot (μB per cell): 0.00
Final energy (eV per cell): -16.17

Cell lengths 5.3370, 5.3370, 4.7712 Å; angles 90.00, 90.00, 90.00 degrees
Space group P4/mmm (No. 123)
Asymmetric unit:
Ba1 0.0000 0.0000 0.0000
Hg1 0.0000 0.5000 0.5000
Ge1 0.5000 0.5000 0.0000
Rh1 0.5000 0.5000 0.5000

No. 5
VASP calculation (GGA-PBE) on CeCd2In after structural relaxation.

Values from the calculation:
Fermi-level density of states (states/eV per cell): 17.68
M_tot (μB per cell): 2.50
Final energy (eV per cell): -20.98

Cell lengths 5.1192, 6.2181, 6.9656 Å; angles 90.00, 90.00, 90.00 degrees
Space group Amm2 (No. 38)
Asymmetric unit:
Ce1 0.0000 0.0000 0.0000
Cd1 0.0000 0.0000 0.5038
Cd2 0.5000 0.0000 0.7185
In1 0.5000 0.0000 0.2774

No. 6
VASP calculation (GGA-PBE) on Dy3Sc13 after structural relaxation.

Values from the calculation:
Fermi-level density of states (states/eV per cell): 59.59
M_tot (μB per cell): 0.00
Final energy (eV per cell): -191.74

Cell lengths 6.7498, 10.4873, 11.6552 Å; angles 90.00, 90.00, 90.00 degrees
Space group Amm2 (No. 38)
Asymmetric unit:
Dy1 0.0000 0.0000 0.0000
Dy2 0.2532 0.0000 0.2561
Sc1 0.0000 0.0000 0.5068
Sc2 0.0000 0.2473 0.8344
Sc3 0.2511 0.0000 0.7500
Sc4 0.2523 0.2449 0.5846
Sc5 0.5000 0.0000 0.5068
Sc6 0.5000 0.0000 0.9991
Sc7 0.5000 0.2420 0.8361

Q: Number 4 is which compound?
A: BaHg2GeRh

Q: Which of these has the highest Fermi-level density of states?
A: Dy3Sc13

Q: Which of these has the highest M_tot?
A: CeCd2In